[1]
A plane-wave DFT calculation with PBE-GGA was carried out for a geometry-optimized Si2MoC structure.

a = 6.0618 Å, b = 6.0618 Å, c = 5.3137 Å
α = 90.00°, β = 90.00°, γ = 90.00°
Space group I-42d (No. 122)
Asymmetric unit:
Si  0.1669  0.2500  0.1250 [8 per cell]
Mo  0.0000  0.0000  0.5000 [4 per cell]
C  0.0000  0.0000  0.0000 [4 per cell]

## Properties
Its uncorrected formation energy is 0.474 eV/atom. As for the density of states at the Fermi level: 0.430 states/eV/atom.



[2]
A plane-wave DFT calculation with PBE-GGA was carried out for a geometry-optimized SiMo2C structure.

a = 5.0615 Å, b = 5.0615 Å, c = 10.3654 Å
α = 90.00°, β = 90.00°, γ = 90.00°
Space group I-42d (No. 122)
Asymmetric unit:
Si  0.0000  0.0000  0.0000 [4 per cell]
Mo  0.1732  0.2500  0.6250 [8 per cell]
C  0.0000  0.0000  0.5000 [4 per cell]

## Properties
Its uncorrected formation energy is 0.728 eV/atom. As for the density of states at the Fermi level: 0.955 states/eV/atom. Its distance to the lowest polymorph of the same formula is 787.9 meV per atom.



[3]
A plane-wave DFT calculation with PBE-GGA was carried out for a geometry-optimized SiMo6C structure.

a = 5.4119 Å, b = 5.4119 Å, c = 14.2235 Å
α = 90.00°, β = 90.00°, γ = 120.00°
Space group R-3 (No. 148, hexagonal axes)
Asymmetric unit:
Si  0.0000  0.0000  0.0000 [3 per cell]
Mo  0.0192  0.3928  0.9154 [18 per cell]
C  0.0000  0.0000  0.5000 [3 per cell]

## Properties
Its uncorrected formation energy is 0.257 eV/atom. As for the density of states at the Fermi level: 0.638 states/eV/atom.



[4]
A plane-wave DFT calculation with PBE-GGA was carried out for a geometry-optimized SiMoC3 structure.

a = 4.0940 Å, b = 4.0940 Å, c = 4.0940 Å
α = 90.00°, β = 90.00°, γ = 90.00°
Space group Pm-3m (No. 221)
Asymmetric unit:
Si  0.0000  0.0000  0.0000 [1 per cell]
Mo  0.5000  0.5000  0.5000 [1 per cell]
C  0.0000  0.5000  0.5000 [3 per cell]

## Properties
Its uncorrected formation energy is 2.124 eV/atom. As for the density of states at the Fermi level: 0.685 states/eV/atom. Its distance to the lowest polymorph of the same formula is 182.2 meV per atom.



[5]
A plane-wave DFT calculation with PBE-GGA was carried out for a geometry-optimized Si3MoC structure.

a = 3.9795 Å, b = 3.9795 Å, c = 3.9795 Å
α = 90.00°, β = 90.00°, γ = 90.00°
Space group Pm-3m (No. 221)
Asymmetric unit:
Si  0.0000  0.0000  0.5000 [3 per cell]
Mo  0.5000  0.5000  0.5000 [1 per cell]
C  0.0000  0.0000  0.0000 [1 per cell]

## Properties
Its uncorrected formation energy is 0.863 eV/atom. As for the density of states at the Fermi level: 0.590 states/eV/atom. Its distance to the lowest polymorph of the same formula is 0.0 meV per atom.



[6]
A plane-wave DFT calculation with PBE-GGA was carried out for a geometry-optimized Si3MoC structure.

a = 4.7118 Å, b = 4.7118 Å, c = 4.7118 Å
α = 90.00°, β = 90.00°, γ = 90.00°
Space group Pm-3m (No. 221)
Asymmetric unit:
Si  0.0000  0.0000  0.5000 [3 per cell]
Mo  0.0000  0.0000  0.0000 [1 per cell]
C  0.5000  0.5000  0.5000 [1 per cell]

## Properties
Its uncorrected formation energy is 1.750 eV/atom. As for the density of states at the Fermi level: 1.132 states/eV/atom. Its distance to the lowest polymorph of the same formula is 886.6 meV per atom.



[7]
A plane-wave DFT calculation with PBE-GGA was carried out for a geometry-optimized Sm2Mo2C3 structure.

a = 12.0512 Å, b = 3.4127 Å, c = 5.8467 Å
α = 90.00°, β = 114.21°, γ = 90.00°
Space group C2/m (No. 12)
Asymmetric unit:
Sm  0.1079  0.0000  0.3188 [4 per cell]
Mo  0.1596  0.5000  0.8230 [4 per cell]
C  0.0000  0.5000  0.5000 [2 per cell]
C  0.2500  0.0000  0.7729 [4 per cell]

## Properties
As for the density of states at the Fermi level: 0.362 states/eV/atom. Its distance to the lowest polymorph of the same formula is 0.0 meV per atom. The energy of formation from the pure elements is -267 meV/atom.



[8]
A plane-wave DFT calculation with PBE-GGA was carried out for a geometry-optimized Sm2MoC3 structure.

a = 10.9006 Å, b = 5.3704 Å, c = 6.6442 Å
α = 90.00°, β = 108.06°, γ = 90.00°
Space group C2/c (No. 15)
Asymmetric unit:
Sm  0.1733  0.0007  0.0880 [8 per cell]
Mo  0.0000  0.4462  0.2500 [4 per cell]
C  0.0000  0.1005  0.2500 [4 per cell]
C  0.1446  0.4921  0.0698 [8 per cell]

## Properties
As for the density of states at the Fermi level: 0.284 states/eV/atom. The energy of formation from the pure elements is -24 meV/atom.



[9]
A plane-wave DFT calculation with PBE-GGA was carried out for a geometry-optimized Sm2Mo2C3 structure.

a = 11.3909 Å, b = 3.4588 Å, c = 5.8352 Å
α = 90.00°, β = 106.37°, γ = 90.00°
Space group C2/m (No. 12)
Asymmetric unit:
Sm  0.1112  0.0000  0.3241 [4 per cell]
Mo  0.1525  0.5000  0.8826 [4 per cell]
C  0.0000  0.5000  0.0000 [2 per cell]
C  0.2248  0.0000  0.7659 [4 per cell]

## Properties
As for the density of states at the Fermi level: 0.428 states/eV/atom. Its distance to the lowest polymorph of the same formula is 16.7 meV per atom. The energy of formation from the pure elements is -251 meV/atom.



[10]
A plane-wave DFT calculation with PBE-GGA was carried out for a geometry-optimized Sm3Mo2C4 structure.

a = 11.2290 Å, b = 3.2693 Å, c = 7.7424 Å
α = 90.00°, β = 102.66°, γ = 90.00°
Space group C2/m (No. 12)
Asymmetric unit:
Sm  0.0000  0.0000  0.0000 [2 per cell]
Sm  0.0982  0.5000  0.3878 [4 per cell]
Mo  0.1972  0.5000  0.8385 [4 per cell]
C  0.0753  0.0000  0.7055 [4 per cell]
C  0.1703  0.5000  0.0968 [4 per cell]

## Properties
As for the density of states at the Fermi level: 0.411 states/eV/atom. The energy of formation from the pure elements is -39 meV/atom.



[11]
A plane-wave DFT calculation with PBE-GGA was carried out for a geometry-optimized SmMo3C3 structure.

a = 6.0987 Å, b = 6.0987 Å, c = 19.9661 Å
α = 90.00°, β = 90.00°, γ = 120.00°
Space group R-3 (No. 148, hexagonal axes)
Asymmetric unit:
Sm  0.0000  0.0000  0.1668 [6 per cell]
Mo  0.0035  0.3251  0.6209 [18 per cell]
C  0.0031  0.3448  0.4013 [18 per cell]

## Properties
As for the density of states at the Fermi level: 0.590 states/eV/atom. The energy of formation from the pure elements is 129 meV/atom.



[12]
A plane-wave DFT calculation with PBE-GGA was carried out for a geometry-optimized Sm3MoC3 structure.

a = 8.9524 Å, b = 10.7694 Å, c = 5.3323 Å
α = 90.00°, β = 90.00°, γ = 90.00°
Space group Cmcm (No. 63)
Asymmetric unit:
Sm  0.0000  0.1106  0.2500 [4 per cell]
Sm  0.2123  0.3831  0.2500 [8 per cell]
Mo  0.0000  0.3073  0.7500 [4 per cell]
C  0.0000  0.1242  0.7500 [4 per cell]
C  0.2030  0.3793  0.7500 [8 per cell]

## Properties
As for the density of states at the Fermi level: 0.395 states/eV/atom. The energy of formation from the pure elements is -211 meV/atom.



[13]
A plane-wave DFT calculation with PBE-GGA was carried out for a geometry-optimized SnMoC3 structure.

a = 4.1880 Å, b = 4.1880 Å, c = 4.1880 Å
α = 90.00°, β = 90.00°, γ = 90.00°
Space group Pm-3m (No. 221)
Asymmetric unit:
Sn  0.0000  0.0000  0.0000 [1 per cell]
Mo  0.5000  0.5000  0.5000 [1 per cell]
C  0.0000  0.0000  0.5000 [3 per cell]

## Properties
As for the density of states at the Fermi level: 0.735 states/eV/atom. Its distance to the lowest polymorph of the same formula is 1371.1 meV per atom. The energy of formation from the pure elements is 3117 meV/atom.



[14]
A plane-wave DFT calculation with PBE-GGA was carried out for a geometry-optimized SnMoC2 structure.

a = 5.0513 Å, b = 5.0513 Å, c = 9.5538 Å
α = 90.00°, β = 90.00°, γ = 90.00°
Space group I-42d (No. 122)
Asymmetric unit:
Sn  0.0000  0.0000  0.0000 [4 per cell]
Mo  0.0000  0.0000  0.5000 [4 per cell]
C  0.2064  0.2500  0.6250 [8 per cell]

## Properties
As for the density of states at the Fermi level: 0.504 states/eV/atom. The energy of formation from the pure elements is 864 meV/atom.



[15]
A plane-wave DFT calculation with PBE-GGA was carried out for a geometry-optimized Sn2MoC structure.

a = 6.7909 Å, b = 6.7909 Å, c = 6.2303 Å
α = 90.00°, β = 90.00°, γ = 90.00°
Space group I-42d (No. 122)
Asymmetric unit:
Sn  0.1817  0.7500  0.1250 [8 per cell]
Mo  0.0000  0.0000  0.5000 [4 per cell]
C  0.0000  0.0000  0.0000 [4 per cell]

## Properties
As for the density of states at the Fermi level: 0.711 states/eV/atom. The energy of formation from the pure elements is 1156 meV/atom.



[16]
A plane-wave DFT calculation with PBE-GGA was carried out for a geometry-optimized Sn3MoC structure.

a = 5.2310 Å, b = 5.2310 Å, c = 5.2310 Å
α = 90.00°, β = 90.00°, γ = 90.00°
Space group Pm-3m (No. 221)
Asymmetric unit:
Sn  0.0000  0.0000  0.5000 [3 per cell]
Mo  0.0000  0.0000  0.0000 [1 per cell]
C  0.5000  0.5000  0.5000 [1 per cell]

## Properties
As for the density of states at the Fermi level: 1.327 states/eV/atom. Its distance to the lowest polymorph of the same formula is 224.9 meV per atom. The energy of formation from the pure elements is 1531 meV/atom.



[17]
A plane-wave DFT calculation with PBE-GGA was carried out for a geometry-optimized Sn3MoC structure.

a = 4.6215 Å, b = 4.6215 Å, c = 4.6215 Å
α = 90.00°, β = 90.00°, γ = 90.00°
Space group Pm-3m (No. 221)
Asymmetric unit:
Sn  0.0000  0.0000  0.5000 [3 per cell]
Mo  0.5000  0.5000  0.5000 [1 per cell]
C  0.0000  0.0000  0.0000 [1 per cell]

## Properties
As for the density of states at the Fermi level: 1.063 states/eV/atom. Its distance to the lowest polymorph of the same formula is 0.0 meV per atom. The energy of formation from the pure elements is 1306 meV/atom.



[18]
A plane-wave DFT calculation with PBE-GGA was carried out for a geometry-optimized SnMoC3 structure.

a = 4.1524 Å, b = 4.1524 Å, c = 4.1524 Å
α = 90.00°, β = 90.00°, γ = 90.00°
Space group Pm-3m (No. 221)
Asymmetric unit:
Sn  0.0000  0.0000  0.0000 [1 per cell]
Mo  0.5000  0.5000  0.5000 [1 per cell]
C  0.0000  0.5000  0.5000 [3 per cell]

## Properties
As for the density of states at the Fermi level: 0.528 states/eV/atom. Its distance to the lowest polymorph of the same formula is 0.0 meV per atom. The energy of formation from the pure elements is 1746 meV/atom.



[19]
A plane-wave DFT calculation with PBE-GGA was carried out for a geometry-optimized Tc2SnMoC structure.

a = 4.1689 Å, b = 4.1689 Å, c = 4.1770 Å
α = 90.00°, β = 90.00°, γ = 90.00°
Space group P4/mmm (No. 123)
Asymmetric unit:
Tc  0.0000  0.5000  0.0000 [2 per cell]
Sn  0.0000  0.0000  0.5000 [1 per cell]
Mo  0.5000  0.5000  0.5000 [1 per cell]
C  0.5000  0.5000  0.0000 [1 per cell]

## Properties
As for the density of states at the Fermi level: 1.190 states/eV/atom. The energy of formation from the pure elements is 141 meV/atom.



[20]
A plane-wave DFT calculation with PBE-GGA was carried out for a geometry-optimized Ti2SnMoC structure.

a = 4.2999 Å, b = 4.2999 Å, c = 4.1276 Å
α = 90.00°, β = 90.00°, γ = 90.00°
Space group P4/mmm (No. 123)
Asymmetric unit:
Ti  0.0000  0.5000  0.0000 [2 per cell]
Sn  0.0000  0.0000  0.5000 [1 per cell]
Mo  0.5000  0.5000  0.5000 [1 per cell]
C  0.5000  0.5000  0.0000 [1 per cell]

## Properties
As for the density of states at the Fermi level: 1.161 states/eV/atom. The energy of formation from the pure elements is -341 meV/atom.



[21]
A plane-wave DFT calculation with PBE-GGA was carried out for a geometry-optimized TiSnMoC2 structure.

a = 4.1346 Å, b = 4.1346 Å, c = 5.2092 Å
α = 90.00°, β = 90.00°, γ = 90.00°
Space group P4/mmm (No. 123)
Asymmetric unit:
Ti  0.0000  0.0000  0.0000 [1 per cell]
Sn  0.0000  0.0000  0.5000 [1 per cell]
Mo  0.5000  0.5000  0.0000 [1 per cell]
C  0.0000  0.5000  0.5000 [2 per cell]

## Properties
As for the density of states at the Fermi level: 1.058 states/eV/atom. The energy of formation from the pure elements is 2775 meV/atom.



[22]
A plane-wave DFT calculation with PBE-GGA was carried out for a geometry-optimized YSnMo2C structure.

a = 4.2483 Å, b = 4.2483 Å, c = 4.8208 Å
α = 90.00°, β = 90.00°, γ = 90.00°
Space group P4/mmm (No. 123)
Asymmetric unit:
Y  0.0000  0.0000  0.0000 [1 per cell]
Sn  0.5000  0.5000  0.0000 [1 per cell]
Mo  0.0000  0.5000  0.5000 [2 per cell]
C  0.0000  0.0000  0.5000 [1 per cell]

## Properties
As for the density of states at the Fermi level: 0.800 states/eV/atom. The energy of formation from the pure elements is -9 meV/atom.



[23]
A plane-wave DFT calculation with PBE-GGA was carried out for a geometry-optimized SrMo3C structure.

a = 4.3692 Å, b = 4.3692 Å, c = 4.3692 Å
α = 90.00°, β = 90.00°, γ = 90.00°
Space group Pm-3m (No. 221)
Asymmetric unit:
Sr  0.0000  0.0000  0.0000 [1 per cell]
Mo  0.0000  0.5000  0.5000 [3 per cell]
C  0.5000  0.5000  0.5000 [1 per cell]

## Properties
As for the density of states at the Fermi level: 0.978 states/eV/atom. Its distance to the lowest polymorph of the same formula is 0.0 meV per atom. The energy of formation from the pure elements is 736 meV/atom.



[24]
A plane-wave DFT calculation with PBE-GGA was carried out for a geometry-optimized SrMo3C structure.

a = 4.7517 Å, b = 4.7517 Å, c = 4.7517 Å
α = 90.00°, β = 90.00°, γ = 90.00°
Space group Pm-3m (No. 221)
Asymmetric unit:
Sr  0.0000  0.0000  0.0000 [1 per cell]
Mo  0.0000  0.0000  0.5000 [3 per cell]
C  0.5000  0.5000  0.5000 [1 per cell]

## Properties
As for the density of states at the Fermi level: 1.301 states/eV/atom. Its distance to the lowest polymorph of the same formula is 3592.4 meV per atom. The energy of formation from the pure elements is 4329 meV/atom.



[25]
A plane-wave DFT calculation with PBE-GGA was carried out for a geometry-optimized Sr2YMoC structure.

a = 6.5450 Å, b = 6.5450 Å, c = 4.2630 Å
α = 90.00°, β = 90.00°, γ = 90.00°
Space group P4/mmm (No. 123)
Asymmetric unit:
Sr  0.0000  0.5000  0.0000 [2 per cell]
Y  0.0000  0.0000  0.0000 [1 per cell]
Mo  0.5000  0.5000  0.5000 [1 per cell]
C  0.0000  0.0000  0.5000 [1 per cell]

## Properties
As for the density of states at the Fermi level: 0.404 states/eV/atom. The energy of formation from the pure elements is 1715 meV/atom.



[26]
A plane-wave DFT calculation with PBE-GGA was carried out for a geometry-optimized Ta2MoC structure.

a = 2.9395 Å, b = 5.0401 Å, c = 8.1991 Å
α = 90.00°, β = 90.00°, γ = 90.00°
Space group Immm (No. 71)
Asymmetric unit:
Ta  0.0000  0.0000  0.1862 [4 per cell]
Mo  0.0000  0.5000  0.0000 [2 per cell]
C  0.0000  0.5000  0.5000 [2 per cell]

## Properties
As for the density of states at the Fermi level: 0.756 states/eV/atom. The energy of formation from the pure elements is 253 meV/atom.



For the records above, the corresponding total moment values read 0.000; 0.001; 0.000; 0.000; 0.000; 2.096; 0.000; 0.000; 0.000; 0.000; 0.000; 0.000; 1.688; 0.000; 6.423; 2.880; 0.000; 0.000; 0.990; 0.002; 0.000; 0.000; 0.000; 0.000; 3.961; 0.000 μB/cell.